DFT (PBE) results for a relaxed RbNaTl3Pt crystal.

Properties
SG	Cmcm (63)
formation energy	-54	meV/atom
spin magnetization	0.0	μB/cell

The structure in POSCAR format:
```
RbNaTl3Pt
1.0
3.842 -6.543 0.000
3.842 6.543 0.000
0.000 0.000 8.739
Rb Na Tl Pt
2 2 6 2
direct
0.247 0.753 0.750
0.753 0.247 0.250
0.049 0.951 0.250
0.951 0.049 0.750
0.276 0.276 0.000
0.276 0.276 0.500
0.284 0.716 0.250
0.716 0.284 0.750
0.724 0.724 0.000
0.724 0.724 0.500
0.489 0.511 0.250
0.511 0.489 0.750
```